[1]
A crystal of Sr3CoN3 relaxed with PBEsol, computed with SCAN.

Summary:
Its volume is 127 Å³/f.u. As for the size of the total moment: 3.30 μB per formula unit. As for the calculated total energy: -233.67 eV for the cell shown. Its space-group type is P6_3/m (176).

POSCAR file:
```
Sr3CoN3
1.0
7.477 0.000 0.000
-3.739 6.475 0.000
0.000 0.000 5.241
Sr Co N
6 2 6
Cartesian
-2.063 4.686 1.310
0.712 2.346 1.310
2.388 0.557 3.930
1.351 5.919 1.310
3.027 4.129 3.930
5.801 1.790 3.930
0.000 4.317 3.930
3.739 2.158 1.310
-1.731 4.467 3.930
0.736 2.743 3.930
2.743 0.734 1.310
0.995 5.742 3.930
3.003 3.733 1.310
5.470 2.009 1.310
```

[2]
A crystal of Sr8Co3N8 relaxed with PBEsol, computed with SCAN.

Summary:
Its volume is 341 Å³/f.u. As for the size of the total moment: 8.97 μB per formula unit. As for the calculated total energy: -317.96 eV for the cell shown. Its space-group type is C2/m (12).

POSCAR file:
```
Sr8Co3N8
1.0
9.157 -2.635 0.000
9.157 2.635 0.000
-1.927 0.000 7.061
Sr Co N
8 3 8
Cartesian
0.008 0.000 1.873
2.118 0.000 5.707
5.085 0.000 3.718
7.327 0.000 0.250
9.059 0.000 6.811
11.301 0.000 3.343
14.268 0.000 1.355
16.379 0.000 5.188
3.026 0.000 1.455
8.193 0.000 3.531
13.360 0.000 5.607
1.914 0.000 0.093
2.415 0.000 3.061
4.741 0.000 1.170
7.303 0.000 5.059
9.083 0.000 2.003
11.645 0.000 5.891
13.972 0.000 4.000
14.472 0.000 6.968
```

> Among the records above, which one has the lowest calculated total energy?

Sr8Co3N8